! Mn2TcPO PBE with a Hubbard U relaxed; values from VASP
&SYSTEM
  ibrav = 0, nat = 5, ntyp = 4
/
ATOMIC_SPECIES
Mn 54.94 Mn.upf
Tc 98.00 Tc.upf
P 30.97 P.upf
O 16.00 O.upf
CELL_PARAMETERS angstrom
4.2368 0.0000 0.0000
0.0000 4.2368 0.0000
0.0000 0.0000 4.0756
ATOMIC_POSITIONS crystal
Mn 0.0000 0.5000 0.0000
Mn 0.5000 0.0000 0.0000
Tc 0.0000 0.0000 0.5000
P 0.5000 0.5000 0.5000
O 0.0000 0.0000 0.0000
! DOS at the Fermi energy   3.00 states/eV per cell
! VASP energy   -7.143 eV/atom
! SG   P4/mmm, No. 123
! Crystal system   tetragonal